{"formula": "RbRe2B2", "functional": "SCAN", "state": "single point on PBEsol structure", "space_group": "I4/mmm (139)", "cell": [[-1.9734, 1.9734, 6.4404], [1.9734, -1.9734, 6.4404], [1.9734, 1.9734, -6.4404]], "species": ["Rb", "Re", "Re", "B", "B"], "fractional_positions": [[0.0000, 0.0000, 0.0000], [0.2500, 0.7500, 0.5000], [0.7500, 0.2500, 0.5000], [0.3090, 0.3090, 0.0000], [0.6910, 0.6910, 0.0000]]}

=====

{"formula": "RbBRh3", "functional": "SCAN", "state": "single point on PBEsol structure", "space_group": "Pm-3m (221)", "cell": [[4.2410, 0.0000, 0.0000], [0.0000, 4.2410, 0.0000], [0.0000, 0.0000, 4.2410]], "species": ["Rb", "B", "Rh", "Rh", "Rh"], "fractional_positions": [[0.0000, 0.0000, 0.0000], [0.5000, 0.5000, 0.5000], [0.0000, 0.5000, 0.5000], [0.5000, 0.0000, 0.5000], [0.5000, 0.5000, 0.0000]]}

=====

What total DFT energy (no corrections) values result from the calculations? In sequence: -176.73, -127.25 eV/cell.
What energy of formation from the pure elements values result from the calculations? In sequence: 1.062, 2.236 eV/f.u..
What V values result from the calculations? In sequence: 100, 76 Å³ per cell.